Entry 1:
{"formula": "Ho2ScPb", "functional": "PBE-GGA", "state": "optimized geometry", "cell": [[4.1148, 0.0000, 0.0000], [0.0000, 4.1148, 0.0000], [0.0000, 0.0000, 6.4983]], "species": ["Ho", "Ho", "Sc", "Pb"], "fractional_positions": [[0.0000, 0.0000, 0.2458], [0.0000, 0.0000, 0.7542], [0.5000, 0.5000, 0.5000], [0.5000, 0.5000, 0.0000]], "polymorph_energy_ev_per_atom": 0.025, "e_tot_ev_per_cell": -20.11}

Entry 2:
{"formula": "Sr2GaPb2", "functional": "PBE-GGA", "state": "optimized geometry", "cell": [[8.9071, 0.0000, 0.0000], [0.0000, 8.9071, 0.0000], [0.0000, 0.0000, 4.5218]], "species": ["Sr", "Sr", "Sr", "Sr", "Ga", "Ga", "Pb", "Pb", "Pb", "Pb"], "fractional_positions": [[0.1731, 0.3269, 0.0000], [0.3269, 0.8269, 0.0000], [0.6731, 0.1731, 0.0000], [0.8269, 0.6731, 0.0000], [0.0000, 0.0000, 0.0000], [0.5000, 0.5000, 0.0000], [0.1262, 0.6262, 0.5000], [0.3738, 0.1262, 0.5000], [0.6262, 0.8738, 0.5000], [0.8738, 0.3738, 0.5000]], "polymorph_energy_ev_per_atom": 0.200, "e_tot_ev_per_cell": -29.51}

Entry 3:
{"formula": "Pr12Y5Sc2", "functional": "PBE-GGA", "state": "optimized geometry", "cell": [[9.7484, -3.7483, 0.0000], [9.7484, 3.7483, 0.0000], [-4.6625, 0.0000, 8.8924]], "species": ["Pr", "Pr", "Pr", "Pr", "Pr", "Pr", "Pr", "Pr", "Pr", "Pr", "Pr", "Pr", "Y", "Y", "Y", "Y", "Y", "Sc", "Sc"], "fractional_positions": [[0.0007, 0.0007, 0.2004], [0.0719, 0.5970, 0.5023], [0.0863, 0.5910, 0.1542], [0.4030, 0.9281, 0.4977], [0.4090, 0.9137, 0.8458], [0.4916, 0.4916, 0.6771], [0.5084, 0.5084, 0.3229], [0.5910, 0.0863, 0.1542], [0.5970, 0.0719, 0.5023], [0.9137, 0.4090, 0.8458], [0.9281, 0.4030, 0.4977], [0.9993, 0.9993, 0.7996], [0.0000, 0.0000, 0.5000], [0.1719, 0.1719, 0.1691], [0.3264, 0.3264, 0.8134], [0.6736, 0.6736, 0.1866], [0.8281, 0.8281, 0.8309], [0.3057, 0.6943, 0.0000], [0.6943, 0.3057, 0.0000]], "e_tot_ev_per_cell": -99.54}

Entry 4:
{"formula": "CaNi2Hg", "functional": "PBE-GGA", "state": "optimized geometry", "cell": [[3.2022, 0.0000, 0.0000], [-1.6011, 2.7732, 0.0000], [0.0000, 0.0000, 25.0972]], "species": ["Ca", "Ca", "Ca", "Ni", "Ni", "Ni", "Ni", "Ni", "Ni", "Hg", "Hg", "Hg"], "fractional_positions": [[0.0000, 0.0000, 0.0000], [0.3333, 0.6667, 0.6667], [0.6667, 0.3333, 0.3333], [0.0000, 0.0000, 0.2457], [0.0000, 0.0000, 0.7543], [0.3333, 0.6667, 0.4210], [0.3333, 0.6667, 0.9123], [0.6667, 0.3333, 0.0877], [0.6667, 0.3333, 0.5790], [0.0000, 0.0000, 0.5000], [0.3333, 0.6667, 0.1667], [0.6667, 0.3333, 0.8333]], "polymorph_energy_ev_per_atom": 0.485, "e_tot_ev_per_cell": -36.88}

Entry 5:
{"formula": "ErCd11Rh", "functional": "PBE-GGA", "state": "optimized geometry", "cell": [[2.8520, -7.1426, 0.0000], [2.8520, 7.1426, 0.0000], [-2.7434, 0.0000, 6.9530]], "species": ["Er", "Cd", "Cd", "Cd", "Cd", "Cd", "Cd", "Cd", "Cd", "Cd", "Cd", "Cd", "Rh"], "fractional_positions": [[0.0000, 0.0000, 0.0000], [0.0000, 0.5000, 0.0000], [0.0054, 0.6702, 0.6441], [0.2798, 0.4848, 0.7877], [0.3298, 0.9946, 0.3559], [0.4848, 0.2798, 0.7877], [0.5000, 0.0000, 0.0000], [0.5000, 0.5000, 0.5000], [0.5152, 0.7202, 0.2123], [0.6702, 0.0054, 0.6441], [0.7202, 0.5152, 0.2123], [0.9946, 0.3298, 0.3559], [0.0000, 0.0000, 0.5000]], "e_tot_ev_per_cell": -23.22}

Entry 6:
{"formula": "Ba8Bi5As", "functional": "PBE-GGA", "state": "optimized geometry", "cell": [[-5.3014, 5.3014, 5.3428], [5.3014, -5.3014, 5.3428], [5.3014, 5.3014, -5.3428]], "species": ["Ba", "Ba", "Ba", "Ba", "Ba", "Ba", "Ba", "Ba", "Bi", "Bi", "Bi", "Bi", "Bi", "As"], "fractional_positions": [[0.1313, 0.3771, 0.1027], [0.1401, 0.3792, 0.6234], [0.2745, 0.0287, 0.8973], [0.4833, 0.8599, 0.2391], [0.6208, 0.2441, 0.7609], [0.6229, 0.7255, 0.7542], [0.7559, 0.5167, 0.3766], [0.9713, 0.8687, 0.2458], [0.0009, 0.6287, 0.8734], [0.2500, 0.7500, 0.5000], [0.3713, 0.2447, 0.3722], [0.7553, 0.1275, 0.1266], [0.8725, 0.9991, 0.6278], [0.5000, 0.5000, 0.0000]], "e_tot_ev_per_cell": -52.45}

Entry 7:
{"formula": "CaTa2Fe", "functional": "PBE-GGA", "state": "optimized geometry", "cell": [[3.0771, 0.0000, 0.0000], [-1.5385, 2.6648, 0.0000], [0.0000, 0.0000, 28.1115]], "species": ["Ca", "Ca", "Ca", "Ta", "Ta", "Ta", "Ta", "Ta", "Ta", "Fe", "Fe", "Fe"], "fractional_positions": [[0.0000, 0.0000, 0.0000], [0.3333, 0.6667, 0.6667], [0.6667, 0.3333, 0.3333], [0.0000, 0.0000, 0.2317], [0.0000, 0.0000, 0.7683], [0.3333, 0.6667, 0.4350], [0.3333, 0.6667, 0.8983], [0.6667, 0.3333, 0.1017], [0.6667, 0.3333, 0.5650], [0.0000, 0.0000, 0.5000], [0.3333, 0.6667, 0.1667], [0.6667, 0.3333, 0.8333]], "polymorph_energy_ev_per_atom": 0.269, "e_tot_ev_per_cell": -95.63}

Entry 8:
{"formula": "PPtPb2", "functional": "PBE-GGA", "state": "optimized geometry", "cell": [[3.3924, 0.0000, 0.0000], [0.0000, 3.3924, 0.0000], [0.0000, 0.0000, 8.0225]], "species": ["P", "Pt", "Pb", "Pb"], "fractional_positions": [[0.0000, 0.0000, 0.0000], [0.5000, 0.5000, 0.9028], [0.0000, 0.0000, 0.6262], [0.5000, 0.5000, 0.2831]], "e_tot_ev_per_cell": -19.03}

Table of Fermi-level density of states (states/eV/atom), in record order: 1.244, 0.664, 1.649, 0.587, 0.458, 1.124, 1.426, 0.581
Table of calculated volume (Å³/atom), in record order: 27.51, 35.87, 34.20, 18.57, 21.79, 42.90, 19.21, 23.08
Table of energy relative to the elements (eV/atom), in record order: -0.23, -0.19, 0.15, 0.39, -0.10, -0.93, 0.57, -0.04